Entry 1:
# Mn2SnPd8 (PBE, optimized geometry)
# Symmetry   C2/m
# DFT formation energy   -0.306 eV per atom
# DOS at the Fermi energy   4.992 states/eV per cell
# Volume   172.3 Å³/cell
data_Mn2SnPd8
_chemical_formula_sum 'Mn2 Sn1 Pd8'
_space_group_name_H-M_alt 'P 1'
_space_group_IT_number 1
_space_group_name_Hall 'P 1'
_cell_length_a 7.3534
_cell_length_b 7.3534
_cell_length_c 6.2292
_cell_angle_alpha 104.75
_cell_angle_beta 104.75
_cell_angle_gamma 32.04
loop_
_atom_site_label
_atom_site_type_symbol
_atom_site_fract_x
_atom_site_fract_y
_atom_site_fract_z
Mn1 Mn 0.2231 0.2231 0.1508
Mn2 Mn 0.7769 0.7769 0.8492
Sn1 Sn 0.5000 0.5000 0.5000
Pd1 Pd 0.0434 0.0434 0.2291
Pd2 Pd 0.1472 0.1472 0.7036
Pd3 Pd 0.3199 0.3199 0.5836
Pd4 Pd 0.4023 0.4023 0.0375
Pd5 Pd 0.5977 0.5977 0.9625
Pd6 Pd 0.6801 0.6801 0.4164
Pd7 Pd 0.8528 0.8528 0.2964
Pd8 Pd 0.9566 0.9566 0.7709

Entry 2:
# MnSnPd4 (PBE, optimized geometry)
# Symmetry   C2/m
# DFT formation energy   -0.373 eV per atom
# DOS at the Fermi energy   5.243 states/eV per cell
# Volume   192.3 Å³/cell
data_MnSnPd4
_chemical_formula_sum 'Mn2 Sn2 Pd8'
_space_group_name_H-M_alt 'P 1'
_space_group_IT_number 1
_space_group_name_Hall 'P 1'
_cell_length_a 4.7542
_cell_length_b 8.7830
_cell_length_c 4.7527
_cell_angle_alpha 90.00
_cell_angle_beta 104.25
_cell_angle_gamma 90.00
loop_
_atom_site_label
_atom_site_type_symbol
_atom_site_fract_x
_atom_site_fract_y
_atom_site_fract_z
Mn1 Mn 0.0000 0.0000 0.0000
Mn2 Mn 0.5000 0.5000 0.0000
Sn1 Sn 0.0000 0.5000 0.5000
Sn2 Sn 0.5000 0.0000 0.5000
Pd1 Pd 0.0000 0.1609 0.5000
Pd2 Pd 0.0000 0.3368 0.0000
Pd3 Pd 0.0000 0.6632 0.0000
Pd4 Pd 0.0000 0.8391 0.5000
Pd5 Pd 0.5000 0.1632 0.0000
Pd6 Pd 0.5000 0.3391 0.5000
Pd7 Pd 0.5000 0.6609 0.5000
Pd8 Pd 0.5000 0.8368 0.0000

Entry 3:
# MnSnPd4 (PBE, optimized geometry)
# Symmetry   C2/m
# DFT formation energy   -0.369 eV per atom
# DOS at the Fermi energy   5.467 states/eV per cell
# Volume   192.2 Å³/cell
data_MnSnPd4
_chemical_formula_sum 'Mn2 Sn2 Pd8'
_space_group_name_H-M_alt 'P 1'
_space_group_IT_number 1
_space_group_name_Hall 'P 1'
_cell_length_a 9.1442
_cell_length_b 3.8025
_cell_length_c 5.8417
_cell_angle_alpha 90.00
_cell_angle_beta 108.86
_cell_angle_gamma 90.00
loop_
_atom_site_label
_atom_site_type_symbol
_atom_site_fract_x
_atom_site_fract_y
_atom_site_fract_z
Mn1 Mn 0.0000 0.0000 0.0000
Mn2 Mn 0.5000 0.5000 0.0000
Sn1 Sn 0.0000 0.0000 0.5000
Sn2 Sn 0.5000 0.5000 0.5000
Pd1 Pd 0.1597 0.5000 0.3243
Pd2 Pd 0.1653 0.5000 0.8367
Pd3 Pd 0.3347 0.0000 0.1633
Pd4 Pd 0.3403 0.0000 0.6757
Pd5 Pd 0.6597 0.0000 0.3243
Pd6 Pd 0.6653 0.0000 0.8367
Pd7 Pd 0.8347 0.5000 0.1633
Pd8 Pd 0.8403 0.5000 0.6757

Entry 4:
# MnSn4Pd15 (PBE, optimized geometry)
# Symmetry   P4/mmm
# DFT formation energy   -0.442 eV per atom
# DOS at the Fermi energy   11.325 states/eV per cell
# Volume   323.9 Å³/cell
data_MnSn4Pd15
_chemical_formula_sum 'Mn1 Sn4 Pd15'
_space_group_name_H-M_alt 'P 1'
_space_group_IT_number 1
_space_group_name_Hall 'P 1'
_cell_length_a 4.0255
_cell_length_b 4.0255
_cell_length_c 19.9859
_cell_angle_alpha 90.00
_cell_angle_beta 90.00
_cell_angle_gamma 90.00
loop_
_atom_site_label
_atom_site_type_symbol
_atom_site_fract_x
_atom_site_fract_y
_atom_site_fract_z
Mn1 Mn 0.0000 0.0000 0.0000
Sn1 Sn 0.0000 0.0000 0.1950
Sn2 Sn 0.0000 0.0000 0.3984
Sn3 Sn 0.0000 0.0000 0.6016
Sn4 Sn 0.0000 0.0000 0.8050
Pd1 Pd 0.0000 0.5000 0.0956
Pd2 Pd 0.0000 0.5000 0.2974
Pd3 Pd 0.0000 0.5000 0.5000
Pd4 Pd 0.0000 0.5000 0.7026
Pd5 Pd 0.0000 0.5000 0.9044
Pd6 Pd 0.5000 0.0000 0.0956
Pd7 Pd 0.5000 0.0000 0.2974
Pd8 Pd 0.5000 0.0000 0.5000
Pd9 Pd 0.5000 0.0000 0.7026
Pd10 Pd 0.5000 0.0000 0.9044
Pd11 Pd 0.5000 0.5000 0.0000
Pd12 Pd 0.5000 0.5000 0.1971
Pd13 Pd 0.5000 0.5000 0.3988
Pd14 Pd 0.5000 0.5000 0.6012
Pd15 Pd 0.5000 0.5000 0.8029